No. 1
DFT (GGA-PBE) results for an optimized crystal structure of ScTcSe.

Properties
DOS at the Fermi energy, states/eV per atom: 1.031
E_form (uncorrected), eV/atom: 0.2660
Symmetry: F-43m (216)

Cell: 4.3825 4.3825 4.3825 Å, 60.00 60.00 60.00°
With the nearest neighbours (Å) after each atom.
Positions (direct):
Sc1 0.7500 0.7500 0.7500  4 Se 2.68, 4 Tc 2.68
Se1 0.0000 0.0000 0.0000  4 Sc 2.68
Tc1 0.5000 0.5000 0.5000  4 Sc 2.68


No. 2
DFT (GGA-PBE) results for an optimized crystal structure of Sc2TcSe.

Properties
DOS at the Fermi energy, states/eV per atom: 0.875
E_form (uncorrected), eV/atom: -0.2656
Symmetry: P4mm (99)

Cell: 3.1878 3.1878 7.6272 Å, 90.00 90.00 90.03°
With the nearest neighbours (Å) after each atom.
Positions (direct):
Sc1 0.0000 0.0000 0.9572  4 Tc 2.93, 1 Se 3.13, 4 Sc 3.19
Sc2 0.5000 0.5000 0.2846  4 Se 3.02, 8 Sc 3.19-3.36, 1 Tc 3.25
Tc1 0.5000 0.5000 0.7110  4 Se 2.58
Se1 0.0000 0.0000 0.5472  4 Tc 2.58


No. 3
DFT (GGA-PBE) results for an optimized crystal structure of ScTc3Se.

Properties
DOS at the Fermi energy, states/eV per atom: 1.167
E_form (uncorrected), eV/atom: 1.9155
Symmetry: Pm-3m (221)

Cell: 4.6505 4.6505 4.6505 Å, 90.00 90.00 90.00°
With the nearest neighbours (Å) after each atom.
Positions (direct):
Tc1 0.0000 0.5000 0.0000  2 Sc 2.33
Tc2 0.5000 0.0000 0.0000  2 Sc 2.33
Tc3 0.0000 0.0000 0.5000  2 Sc 2.33
Sc1 0.0000 0.0000 0.0000  6 Tc 2.33
Se1 0.5000 0.5000 0.5000  12 Tc 3.29


No. 4
DFT (GGA-PBE) results for an optimized crystal structure of Sc2TcSe.

Properties
DOS at the Fermi energy, states/eV per atom: 0.824
E_form (uncorrected), eV/atom: -0.5554
Symmetry: Imm2 (44)

Cell: 6.0674 6.0674 4.2623 Å, 69.43 69.43 31.48°
With the nearest neighbours (Å) after each atom.
Positions (direct):
Se1 0.5524 0.5524 0.4477  2 Tc 2.59, 4 Sc 2.84
Sc1 0.7411 0.7411 0.7588  4 Tc 2.69, 2 Se 2.96
Sc2 0.9705 0.9705 0.0296  4 Se 2.84, 2 Tc 3.03
Tc1 0.2360 0.2360 0.2638  2 Se 2.59, 4 Sc 2.69


No. 5
DFT (GGA-PBE) results for an optimized crystal structure of Sc2TcSe.

Properties
DOS at the Fermi energy, states/eV per atom: 0.769
E_form (uncorrected), eV/atom: -0.7602
Symmetry: P4/mmm (123)

Cell: 3.4064 3.4069 6.2806 Å, 90.00 90.00 90.00°
With the nearest neighbours (Å) after each atom.
Positions (direct):
Sc1 0.0000 0.0000 0.5127  4 Tc 2.83, 4 Se 2.92, 1 Sc 2.98
Sc2 0.0000 0.0000 0.9873  4 Tc 2.83, 4 Se 2.92, 1 Sc 2.98
Se1 0.5000 0.5000 0.2500  8 Sc 2.92, 2 Tc 3.14
Tc1 0.5000 0.5000 0.7500  8 Sc 2.83, 2 Se 3.14


No. 6
DFT (GGA-PBE) results for an optimized crystal structure of ScTcSe4.

Properties
DOS at the Fermi energy, states/eV per atom: 0.961
E_form (uncorrected), eV/atom: 0.6816
Symmetry: F-43m (216)

Cell: 5.6077 5.6077 5.6077 Å, 60.00 60.00 60.00°
With the nearest neighbours (Å) after each atom.
Positions (direct):
Se1 0.3753 0.3753 0.3753  6 Se 2.80-2.81
Se2 0.3753 0.8740 0.3753  6 Se 2.80-2.81
Se3 0.8740 0.3753 0.3753  6 Se 2.80-2.81
Se4 0.3753 0.3753 0.8740  6 Se 2.80-2.81
Sc1 0.0000 0.0000 0.0000  12 Se 3.29, 4 Tc 3.43
Tc1 0.7500 0.7500 0.7500  12 Se 3.29, 4 Sc 3.43


No. 7
DFT (GGA-PBE) results for an optimized crystal structure of ScTcSe.

Properties
DOS at the Fermi energy, states/eV per atom: 1.047
E_form (uncorrected), eV/atom: -0.1932
Symmetry: F-43m (216)

Cell: 4.3096 4.3096 4.3096 Å, 60.00 60.00 60.00°
With the nearest neighbours (Å) after each atom.
Positions (direct):
Se1 0.7500 0.7500 0.7500  4 Tc 2.64, 4 Sc 2.64
Sc1 0.5000 0.5000 0.5000  4 Se 2.64
Tc1 0.0000 0.0000 0.0000  4 Se 2.64


No. 8
DFT (GGA-PBE) results for an optimized crystal structure of Sc3TcSe.

Properties
DOS at the Fermi energy, states/eV per atom: 1.061
E_form (uncorrected), eV/atom: -0.0319
Symmetry: Pm-3m (221)

Cell: 4.9874 4.9874 4.9874 Å, 90.00 90.00 90.00°
With the nearest neighbours (Å) after each atom.
Positions (direct):
Sc1 0.0000 0.0000 0.5000  2 Tc 2.49
Sc2 0.5000 0.0000 0.0000  2 Tc 2.49
Sc3 0.0000 0.5000 0.0000  2 Tc 2.49
Tc1 0.0000 0.0000 0.0000  6 Sc 2.49
Se1 0.5000 0.5000 0.5000  12 Sc 3.53


No. 9
DFT (GGA-PBE) results for an optimized crystal structure of ScTc3Se.

Properties
DOS at the Fermi energy, states/eV per atom: 1.344
E_form (uncorrected), eV/atom: 0.5796
Symmetry: Pm-3m (221)

Cell: 4.5516 4.5516 4.5516 Å, 90.00 90.00 90.00°
With the nearest neighbours (Å) after each atom.
Positions (direct):
Tc1 0.0000 0.0000 0.5000  2 Se 2.28
Tc2 0.0000 0.5000 0.0000  2 Se 2.28
Tc3 0.5000 0.0000 0.0000  2 Se 2.28
Se1 0.0000 0.0000 0.0000  6 Tc 2.28
Sc1 0.5000 0.5000 0.5000  12 Tc 3.22


No. 10
DFT (GGA-PBE) results for an optimized crystal structure of Sc2TcSe.

Properties
DOS at the Fermi energy, states/eV per atom: 0.598
E_form (uncorrected), eV/atom: -0.6081
Symmetry: Cmmm (65)

Cell: 7.3042 4.5916 3.4121 Å, 89.98 62.19 128.46°
With the nearest neighbours (Å) after each atom.
Positions (direct):
Sc1 0.0000 0.0000 0.0000  4 Se 2.86, 4 Tc 2.86
Sc2 0.5000 0.0000 0.5000  4 Tc 2.86, 4 Se 2.86
Tc1 0.5000 0.5000 0.0000  8 Sc 2.86
Se1 0.0000 0.5000 0.5000  8 Sc 2.86


No. 11
DFT (GGA-PBE) results for an optimized crystal structure of Sc2TcSe.

Properties
DOS at the Fermi energy, states/eV per atom: 0.556
E_form (uncorrected), eV/atom: -0.4793
Symmetry: Pmm2 (25)

Cell: 3.7816 3.7644 5.6189 Å, 90.00 90.00 90.00°
With the nearest neighbours (Å) after each atom.
Positions (direct):
Tc1 0.5000 0.5000 0.8401  5 Sc 2.50-2.73
Sc1 0.5000 0.5000 0.2847  1 Tc 2.50, 4 Se 2.80
Sc2 0.0000 0.0000 0.9411  4 Tc 2.73, 2 Se 2.77-2.85
Se1 0.0000 0.0000 0.4341  6 Sc 2.77-2.85


No. 12
DFT (GGA-PBE) results for an optimized crystal structure of ScTcSe.

Properties
DOS at the Fermi energy, states/eV per atom: 0.304
E_form (uncorrected), eV/atom: -0.3851
Symmetry: I4mm (107)

Cell: 5.7589 5.7582 3.1663 Å, 74.05 74.03 31.91°
With the nearest neighbours (Å) after each atom.
Positions (direct):
Se1 0.6949 0.6949 0.3051  4 Tc 2.57
Sc1 0.9913 0.9913 0.0087  4 Tc 2.93, 5 Se 3.11-3.14, 4 Sc 3.17
Tc1 0.3138 0.3138 0.6862  4 Se 2.57


No. 13
DFT (GGA-PBE) results for an optimized crystal structure of Sc2Tc2Se.

Properties
DOS at the Fermi energy, states/eV per atom: 1.057
E_form (uncorrected), eV/atom: 0.0713
Symmetry: P4/mbm (127)

Cell: 7.0119 7.0119 4.1524 Å, 90.00 90.00 90.00°
With the nearest neighbours (Å) after each atom.
Positions (direct):
Sc1 0.6639 0.1639 0.0000  2 Se 2.62, 4 Tc 2.86
Sc2 0.8361 0.6639 0.0000  2 Se 2.62, 4 Tc 2.86
Sc3 0.1639 0.3361 0.0000  2 Se 2.62, 4 Tc 2.86
Sc4 0.3361 0.8361 0.0000  2 Se 2.62, 4 Tc 2.86
Tc1 0.6129 0.8871 0.5000  1 Tc 2.24
Tc2 0.8871 0.3871 0.5000  1 Tc 2.24
Tc3 0.1129 0.6129 0.5000  1 Tc 2.24
Tc4 0.3871 0.1129 0.5000  1 Tc 2.24
Se1 0.5000 0.5000 0.0000  4 Sc 2.62
Se2 0.0000 0.0000 0.0000  4 Sc 2.62